<a>
# PBE Ba2AlIn, optimized geometry
# - Calculated volume: 40.82 A^3/atom
# - Density of states at the Fermi level: 34.09 states/eV per cell
data_Ba2AlIn
_cell_length_a 9.486
_cell_length_b 9.486
_cell_length_c 7.259
_cell_angle_alpha 90.00
_cell_angle_beta 90.00
_cell_angle_gamma 90.00
_space_group_name_H-M_alt 'I -4 2 d'
_space_group_IT_number 122
_space_group_name_Hall 'I -4 2bw'
loop_
_atom_site_label
_atom_site_type_symbol
_atom_site_fract_x
_atom_site_fract_y
_atom_site_fract_z
Ba1 Ba 0.233 0.250 0.125
Al1 Al 0.000 0.000 0.000
In1 In 0.000 0.000 0.500


<b>
# PBE Ba2AlIn, optimized geometry
# - Calculated volume: 36.07 A^3/atom
# - Density of states at the Fermi level: 1.82 states/eV per cell
data_Ba2AlIn
_cell_length_a 4.166
_cell_length_b 5.465
_cell_length_c 6.337
_cell_angle_alpha 90.00
_cell_angle_beta 90.00
_cell_angle_gamma 90.00
_space_group_name_H-M_alt 'P m m 2'
_space_group_IT_number 25
_space_group_name_Hall 'P 2 -2'
loop_
_atom_site_label
_atom_site_type_symbol
_atom_site_fract_x
_atom_site_fract_y
_atom_site_fract_z
Ba1 Ba 0.000 0.000 0.000
Ba2 Ba 0.000 0.500 0.393
Al1 Al 0.500 0.000 0.546
In1 In 0.500 0.500 0.847


Order of stability, best first: <b>, <a>


<a>
# PBE Ba2AlIn, optimized geometry
# - Calculated volume: 35.86 A^3/atom
# - Density of states at the Fermi level: 5.39 states/eV per cell
data_Ba2AlIn
_cell_length_a 4.231
_cell_length_b 5.845
_cell_length_c 11.601
_cell_angle_alpha 90.00
_cell_angle_beta 90.00
_cell_angle_gamma 90.00
_space_group_name_H-M_alt 'I m m 2'
_space_group_IT_number 44
_space_group_name_Hall 'I 2 -2'
loop_
_atom_site_label
_atom_site_type_symbol
_atom_site_fract_x
_atom_site_fract_y
_atom_site_fract_z
Ba1 Ba 0.000 0.000 0.000
Ba2 Ba 0.000 0.500 0.191
Al1 Al 0.000 0.000 0.432
In1 In 0.000 0.500 0.772


<b>
# PBE Ba2AlIn, optimized geometry
# - Calculated volume: 35.76 A^3/atom
# - Density of states at the Fermi level: 8.23 states/eV per cell
data_Ba2AlIn
_cell_length_a 5.197
_cell_length_b 5.197
_cell_length_c 10.592
_cell_angle_alpha 90.00
_cell_angle_beta 90.00
_cell_angle_gamma 90.00
_space_group_name_H-M_alt 'I -4 m 2'
_space_group_IT_number 119
_space_group_name_Hall 'I -4 -2'
loop_
_atom_site_label
_atom_site_type_symbol
_atom_site_fract_x
_atom_site_fract_y
_atom_site_fract_z
Ba1 Ba 0.000 0.000 0.000
Ba2 Ba 0.000 0.500 0.250
Al1 Al 0.000 0.000 0.500
In1 In 0.000 0.500 0.750


Order of stability, best first: <a>, <b>


<a>
# PBE Ba2AlIn, optimized geometry
# - Calculated volume: 41.07 A^3/atom
# - Density of states at the Fermi level: 13.07 states/eV per cell
data_Ba2AlIn
_cell_length_a 4.1971
_cell_length_b 4.1971
_cell_length_c 32.3077
_cell_angle_alpha 90.00
_cell_angle_beta 90.00
_cell_angle_gamma 120.00
_space_group_name_H-M_alt 'R -3 m'
_space_group_IT_number 166
_space_group_name_Hall '-R 3 2"'
loop_
_atom_site_label
_atom_site_type_symbol
_atom_site_fract_x
_atom_site_fract_y
_atom_site_fract_z
Ba1 Ba 0.0000 0.0000 0.2469
Al1 Al 0.0000 0.0000 0.5000
In1 In 0.0000 0.0000 0.0000


<b>
# PBE Ba2AlIn, optimized geometry
# - Calculated volume: 39.14 A^3/atom
# - Density of states at the Fermi level: 5.18 states/eV per cell
data_Ba2AlIn
_cell_length_a 3.960
_cell_length_b 3.960
_cell_length_c 9.982
_cell_angle_alpha 90.00
_cell_angle_beta 90.00
_cell_angle_gamma 90.00
_space_group_name_H-M_alt 'P 4 m m'
_space_group_IT_number 99
_space_group_name_Hall 'P 4 -2'
loop_
_atom_site_label
_atom_site_type_symbol
_atom_site_fract_x
_atom_site_fract_y
_atom_site_fract_z
Ba1 Ba 0.000 0.000 0.000
Ba2 Ba 0.500 0.500 0.398
Al1 Al 0.500 0.500 0.770
In1 In 0.000 0.000 0.635


Order of stability, best first: <b>, <a>


<a>
# PBE Ba2AlInO5, optimized geometry
# - Calculated volume: 16.92 A^3/atom
# - Density of states at the Fermi level: 0.00 states/eV per cell
data_Ba2AlInO5
_cell_length_a 5.9315
_cell_length_b 5.9315
_cell_length_c 19.9960
_cell_angle_alpha 90.00
_cell_angle_beta 90.00
_cell_angle_gamma 120.00
_space_group_name_H-M_alt 'P 63/m m c'
_space_group_IT_number 194
_space_group_name_Hall '-P 6c 2c'
loop_
_atom_site_label
_atom_site_type_symbol
_atom_site_fract_x
_atom_site_fract_y
_atom_site_fract_z
Ba1 Ba 0.0000 0.0000 0.0000
Ba2 Ba 0.3333 0.6667 0.1055
Ba3 Ba 0.3333 0.6667 0.7500
Al1 Al 0.0000 0.0000 0.1633
In1 In 0.3333 0.6667 0.5669
O1 O 0.0000 0.0000 0.2500
O2 O 0.0000 0.5000 0.0000
O3 O 0.1632 0.3264 0.6344


<b>
# PBE Ba2AlInO5, optimized geometry
# - Calculated volume: 16.36 A^3/atom
# - Density of states at the Fermi level: 0.00 states/eV per cell
data_Ba2AlInO5
_cell_length_a 3.418
_cell_length_b 15.326
_cell_length_c 11.241
_cell_angle_alpha 90.00
_cell_angle_beta 90.00
_cell_angle_gamma 90.00
_space_group_name_H-M_alt 'C m c 21'
_space_group_IT_number 36
_space_group_name_Hall 'C 2c -2'
loop_
_atom_site_label
_atom_site_type_symbol
_atom_site_fract_x
_atom_site_fract_y
_atom_site_fract_z
Ba1 Ba 0.000 0.112 0.000
Ba2 Ba 0.000 0.131 0.641
Al1 Al 0.000 0.441 0.758
In1 In 0.000 0.210 0.349
O1 O 0.000 0.049 0.327
O2 O 0.000 0.294 0.975
O3 O 0.000 0.325 0.721
O4 O 0.000 0.347 0.326
O5 O 0.000 0.497 0.622


Order of stability, best first: <a>, <b>


<a>
# PBE BaAl2Ir2, optimized geometry
# - Calculated volume: 21.16 A^3/atom
# - Density of states at the Fermi level: 2.09 states/eV per cell
data_BaAl2Ir2
_cell_length_a 4.438
_cell_length_b 4.438
_cell_length_c 10.744
_cell_angle_alpha 90.00
_cell_angle_beta 90.00
_cell_angle_gamma 90.00
_space_group_name_H-M_alt 'I 4/m m m'
_space_group_IT_number 139
_space_group_name_Hall '-I 4 2'
loop_
_atom_site_label
_atom_site_type_symbol
_atom_site_fract_x
_atom_site_fract_y
_atom_site_fract_z
Ba1 Ba 0.000 0.000 0.000
Al1 Al 0.000 0.000 0.354
Ir1 Ir 0.000 0.500 0.250


<b>
# PBE BaAl2Ir2, optimized geometry
# - Calculated volume: 18.55 A^3/atom
# - Density of states at the Fermi level: 3.04 states/eV per cell
data_BaAl2Ir2
_cell_length_a 7.921
_cell_length_b 7.921
_cell_length_c 2.956
_cell_angle_alpha 90.00
_cell_angle_beta 90.00
_cell_angle_gamma 90.00
_space_group_name_H-M_alt 'P 4/m b m'
_space_group_IT_number 127
_space_group_name_Hall '-P 4 2ab'
loop_
_atom_site_label
_atom_site_type_symbol
_atom_site_fract_x
_atom_site_fract_y
_atom_site_fract_z
Ba1 Ba 0.000 0.000 0.000
Al1 Al 0.132 0.368 0.500
Ir1 Ir 0.147 0.647 0.000


Order of stability, best first: <a>, <b>


<a>
# PBE BaLa2AlIr, optimized geometry
# - Calculated volume: 38.30 A^3/atom
# - Density of states at the Fermi level: 5.05 states/eV per cell
data_BaLa2AlIr
_cell_length_a 5.660
_cell_length_b 5.660
_cell_length_c 5.978
_cell_angle_alpha 90.00
_cell_angle_beta 90.00
_cell_angle_gamma 90.00
_space_group_name_H-M_alt 'P 4/m m m'
_space_group_IT_number 123
_space_group_name_Hall '-P 4 2'
loop_
_atom_site_label
_atom_site_type_symbol
_atom_site_fract_x
_atom_site_fract_y
_atom_site_fract_z
Ba1 Ba 0.000 0.000 0.000
La1 La 0.000 0.500 0.500
Al1 Al 0.000 0.000 0.500
Ir1 Ir 0.500 0.500 0.000


<b>
# PBE BaLa2AlIr, optimized geometry
# - Calculated volume: 32.75 A^3/atom
# - Density of states at the Fermi level: 4.70 states/eV per cell
data_BaLa2AlIr
_cell_length_a 5.678
_cell_length_b 5.678
_cell_length_c 5.079
_cell_angle_alpha 90.00
_cell_angle_beta 90.00
_cell_angle_gamma 90.00
_space_group_name_H-M_alt 'P 4/m m m'
_space_group_IT_number 123
_space_group_name_Hall '-P 4 2'
loop_
_atom_site_label
_atom_site_type_symbol
_atom_site_fract_x
_atom_site_fract_y
_atom_site_fract_z
Ba1 Ba 0.000 0.000 0.000
La1 La 0.000 0.500 0.500
Al1 Al 0.500 0.500 0.000
Ir1 Ir 0.500 0.500 0.500


Order of stability, best first: <b>, <a>